{
  "formula": "TbPrAu",
  "functional": "PBE",
  "state": "relaxed",
  "delta_e_f_ev_per_atom": -0.505,
  "relative_energy_ev_per_atom": 0.0472,
  "cell": [[3.678, 0.000, 0.000], [0.000, 3.678, 0.000], [-1.839, -1.839, 6.319]],
  "species": ["Au", "Pr", "Tb"],
  "fractional_positions": [[0.679, 0.679, 0.357], [0.017, 0.017, 0.033], [0.305, 0.305, 0.610]]
}

{
  "formula": "HoTl3B2O6",
  "functional": "PBE",
  "state": "relaxed",
  "e_form_raw_ev_per_atom": -2.06,
  "cell": [[-1.274, -5.025, 1.857], [3.508, 3.170, 2.822], [-5.729, 2.887, 3.880]],
  "species": ["Ho", "O", "O", "O", "O", "O", "O", "B", "B", "Tl", "Tl", "Tl"],
  "fractional_positions": [[0.000, 0.000, 0.500], [0.625, 0.812, 0.317], [0.812, 0.188, 0.683], [0.812, 0.625, 0.683], [0.188, 0.812, 0.317], [0.188, 0.375, 0.317], [0.375, 0.188, 0.683], [0.333, 0.667, 0.318], [0.667, 0.333, 0.682], [0.333, 0.667, 0.787], [0.667, 0.333, 0.213], [0.000, 0.000, 0.000]]
}

{
  "formula": "Ac2Zn3Ge2",
  "functional": "PBE",
  "state": "relaxed",
  "delta_e_f_ev_per_atom": -0.461,
  "relative_energy_ev_per_atom": 0.0000,
  "cell": [[4.347, 0.000, 0.000], [-2.174, 5.897, -0.486], [0.000, -0.431, 6.722]],
  "species": ["Ac", "Ac", "Zn", "Zn", "Zn", "Ge", "Ge"],
  "fractional_positions": [[0.841, 0.683, 0.261], [0.159, 0.317, 0.739], [0.500, 0.000, 0.000], [0.433, 0.866, 0.625], [0.567, 0.134, 0.375], [0.137, 0.273, 0.228], [0.863, 0.727, 0.772]]
}

{
  "formula": "Sm4Sb3O2",
  "functional": "PBE",
  "state": "relaxed",
  "e_form_raw_ev_per_atom": -1.87,
  "cell": [[6.502, 0.095, 0.068], [0.467, 8.636, -0.028], [0.467, 2.756, 8.184]],
  "species": ["Sb", "Sb", "Sb", "Sb", "Sb", "Sb", "O", "O", "O", "O", "Sm", "Sm", "Sm", "Sm", "Sm", "Sm", "Sm", "Sm"],
  "fractional_positions": [[0.017, 0.029, 0.763], [0.250, 0.525, 0.475], [0.483, 0.237, 0.971], [0.750, 0.475, 0.525], [0.517, 0.763, 0.029], [0.983, 0.971, 0.237], [0.924, 0.404, 0.155], [0.076, 0.596, 0.845], [0.576, 0.845, 0.596], [0.424, 0.155, 0.404], [0.514, 0.081, 0.676], [0.014, 0.676, 0.081], [0.081, 0.232, 0.388], [0.419, 0.612, 0.768], [0.486, 0.919, 0.324], [0.986, 0.324, 0.919], [0.581, 0.388, 0.232], [0.919, 0.768, 0.612]]
}

{
  "formula": "MgTlFe",
  "functional": "PBE",
  "state": "relaxed",
  "delta_e_f_ev_per_atom": 0.425,
  "cell": [[4.659, 0.000, 0.000], [-2.330, 4.035, 0.000], [0.000, 0.000, 3.089]],
  "species": ["Tl", "Mg", "Fe"],
  "fractional_positions": [[0.333, 0.667, 0.836], [0.667, 0.333, 0.333], [0.000, 0.000, 0.831]]
}

{
  "formula": "YSc3Ti",
  "functional": "PBE",
  "state": "relaxed",
  "delta_e_f_ev_per_atom": 1.221,
  "relative_energy_ev_per_atom": 0.8016,
  "cell": [[5.108, 0.000, 0.000], [0.000, 5.108, 0.000], [0.000, 0.000, 5.108]],
  "species": ["Ti", "Sc", "Sc", "Sc", "Y"],
  "fractional_positions": [[0.500, 0.500, 0.500], [0.000, 0.000, 0.500], [0.000, 0.500, 0.000], [0.500, 0.000, 0.000], [0.000, 0.000, 0.000]]
}

{
  "formula": "CaLa3Se4",
  "functional": "PBE",
  "state": "relaxed",
  "e_form_raw_ev_per_atom": -1.98,
  "cell": [[4.270, 0.000, 0.000], [0.000, 7.446, -0.051], [0.000, -2.396, 7.050]],
  "species": ["La", "La", "La", "Se", "Se", "Se", "Se", "Ca"],
  "fractional_positions": [[0.000, 0.000, 0.500], [0.500, 0.500, 0.500], [0.000, 0.500, 0.000], [0.000, 0.758, 0.758], [0.000, 0.242, 0.242], [0.500, 0.755, 0.245], [0.500, 0.245, 0.755], [0.500, 0.000, 0.000]]
}

{
  "formula": "K2CaTa",
  "functional": "PBE",
  "state": "relaxed",
  "delta_e_f_ev_per_atom": 1.146,
  "relative_energy_ev_per_atom": 0.2796,
  "cell": [[3.228, 0.000, 0.000], [0.000, 3.228, 0.000], [0.000, 0.000, 13.499]],
  "species": ["Ca", "K", "K", "Ta"],
  "fractional_positions": [[0.500, 0.500, 0.750], [0.000, 0.000, 0.471], [0.000, 0.000, 0.029], [0.500, 0.500, 0.250]]
}

{
  "formula": "CsCd3Cl",
  "functional": "PBE",
  "state": "relaxed",
  "e_form_raw_ev_per_atom": 0.15,
  "relative_energy_ev_per_atom": 0.2562,
  "cell": [[-5.458, -0.486, 4.824], [-2.677, -5.755, -3.608], [4.043, -4.466, 4.124]],
  "species": ["Cd", "Cd", "Cd", "Cs", "Cl"],
  "fractional_positions": [[0.000, 0.500, 0.000], [0.500, 0.000, 0.000], [0.000, 0.000, 0.500], [0.000, 0.000, 0.000], [0.500, 0.500, 0.500]]
}

{
  "formula": "NdTmMgHg",
  "functional": "PBE",
  "state": "relaxed",
  "delta_e_f_ev_per_atom": -0.253,
  "relative_energy_ev_per_atom": 0.0208,
  "cell": [[5.349, 0.000, 0.000], [2.674, 4.632, 0.000], [2.674, 1.544, 4.367]],
  "species": ["Tm", "Mg", "Hg", "Nd"],
  "fractional_positions": [[0.750, 0.750, 0.750], [0.000, 0.000, 0.000], [0.500, 0.500, 0.500], [0.250, 0.250, 0.250]]
}